Version A
Compound: Sc3SbP
Source: Alexandria via LeMat-Bulk
Functional: PBE
Structure: relaxed

Computed properties:
The calculation puts the density at 4.12 g cm⁻³. The calculation puts the size of the total moment at 0.0 μB/f.u.

Cell lengths 4.8776, 4.8776, 4.8776 Å; angles 90.00, 90.00, 90.00 degrees
Last column: nearest neighbours and their distance in Å.
Space group Pm-3m (No. 221)
One atom of each set of equivalent atoms:
Sc (0.0000, 0.0000, 0.5000) (multiplicity 3)  2 P 2.44
Sb (0.5000, 0.5000, 0.5000) (multiplicity 1)  12 Sc 3.45
P (0.0000, 0.0000, 0.0000) (multiplicity 1)  6 Sc 2.44

Version B
Compound: Sc3SbP
Source: Alexandria via LeMat-Bulk
Functional: PBE
Structure: relaxed

Computed properties:
The calculation puts the density at 4.38 g cm⁻³. The calculation puts the size of the total moment at 0.0 μB/f.u.

Cell lengths 6.2410, 4.0403, 8.6540 Å; angles 90.00, 90.92, 90.00 degrees
Last column: nearest neighbours and their distance in Å.
Space group P2_1/m (No. 11)
One atom of each set of equivalent atoms:
Sc (0.0010, 0.2500, 0.3405) (multiplicity 2)  3 P 2.63-2.67
Sc (0.2605, 0.2500, 0.9128) (multiplicity 2)  1 P 2.76, 2 Sb 2.91
Sc (0.4939, 0.2500, 0.3407) (multiplicity 2)  3 P 2.63-2.69
Sb (0.2438, 0.7500, 0.1536) (multiplicity 2)  8 Sc 2.91-3.19
P (0.2511, 0.2500, 0.5943) (multiplicity 2)  7 Sc 2.63-2.76

Version C
Compound: Sc3SbP
Source: Alexandria via LeMat-Bulk
Functional: PBE
Structure: relaxed

Computed properties:
The calculation puts the density at 4.16 g cm⁻³. The calculation puts the size of the total moment at 0.3 μB/f.u.

Cell lengths 9.3173, 12.5931, 3.9104 Å; angles 90.00, 90.00, 90.00 degrees
Last column: nearest neighbours and their distance in Å.
Space group Cmmm (No. 65)
One atom of each set of equivalent atoms:
Sc (0.0000, 0.1753, 0.0000) (multiplicity 4)  2 P 2.51
Sc (0.1891, 0.3735, 0.5000) (multiplicity 8)  2 P 2.56
Sb (0.0000, 0.0000, 0.5000) (multiplicity 2)  4 Sc 2.95
Sb (0.0000, 0.5000, 0.0000) (multiplicity 2)  8 Sc 3.08
P (0.2500, 0.2500, 0.0000) (multiplicity 4)  6 Sc 2.51-2.56

Tell me which of them is the least stable. Sure, it is version A.

Version A
Compound: ScSbP3
Source: Alexandria via LeMat-Bulk
Functional: PBE
Structure: relaxed

Computed properties:
The calculation puts the density at 3.53 g cm⁻³. The calculation puts the size of the total moment at 0.0 μB/f.u.

Cell lengths 4.9606, 4.9606, 4.9606 Å; angles 90.00, 90.00, 90.00 degrees
Last column: nearest neighbours and their distance in Å.
Space group Pm-3m (No. 221)
One atom of each set of equivalent atoms:
Sc (0.0000, 0.0000, 0.0000) (multiplicity 1)  12 P 3.51
Sb (0.5000, 0.5000, 0.5000) (multiplicity 1)  6 P 2.48
P (0.0000, 0.5000, 0.5000) (multiplicity 3)  2 Sb 2.48

Version B
Compound: ScSbP3
Source: Alexandria via LeMat-Bulk
Functional: PBE
Structure: relaxed

Computed properties:
The calculation puts the density at 3.62 g cm⁻³. The calculation puts the size of the total moment at 0.0 μB/f.u.

Cell lengths 4.9210, 4.9210, 4.9210 Å; angles 90.00, 90.00, 90.00 degrees
Last column: nearest neighbours and their distance in Å.
Space group Pm-3m (No. 221)
One atom of each set of equivalent atoms:
Sc (0.0000, 0.0000, 0.0000) (multiplicity 1)  6 P 2.46
Sb (0.5000, 0.5000, 0.5000) (multiplicity 1)  12 P 3.48
P (0.0000, 0.0000, 0.5000) (multiplicity 3)  2 Sc 2.46

Tell me which of them is the least stable. Sure, it is version A.

Version A
Compound: Sc2SbP2
Source: Alexandria via LeMat-Bulk
Functional: PBE
Structure: relaxed

Computed properties:
The calculation puts the density at 4.64 g cm⁻³. The calculation puts the size of the total moment at 0.0 μB/f.u.

Cell lengths 7.4706, 7.4706, 3.5104 Å; angles 90.00, 90.00, 90.00 degrees
Last column: nearest neighbours and their distance in Å.
Space group P4/mbm (No. 127)
One atom of each set of equivalent atoms:
Sc (0.1497, 0.3503, 0.0000) (multiplicity 4)  6 P 2.71-2.88, 2 Sb 2.85
Sb (0.0000, 0.0000, 0.0000) (multiplicity 2)  4 Sc 2.85
P (0.1552, 0.6552, 0.5000) (multiplicity 4)  6 Sc 2.71-2.88

Version B
Compound: Sc2SbP2
Source: Alexandria via LeMat-Bulk
Functional: PBE
Structure: relaxed

Computed properties:
The calculation puts the density at 4.67 g cm⁻³. The calculation puts the size of the total moment at 0.0 μB/f.u.

Cell lengths 3.6498, 3.6498, 14.6114 Å; angles 90.00, 90.00, 90.00 degrees
Last column: nearest neighbours and their distance in Å.
Space group I4/mmm (No. 139)
One atom of each set of equivalent atoms:
Sc (0.0000, 0.0000, 0.1158) (multiplicity 4)  4 P 2.68
Sb (0.0000, 0.0000, 0.5000) (multiplicity 2)  8 Sc 3.09
P (0.0000, 0.5000, 0.2500) (multiplicity 4)  4 P 2.58, 4 Sc 2.68

Tell me which of them is the least stable. Sure, it is version A.

Version A
Compound: ScSb3P
Source: Alexandria via LeMat-Bulk
Functional: PBE
Structure: relaxed

Computed properties:
The calculation puts the density at 4.64 g cm⁻³. The calculation puts the size of the total moment at 0.0 μB/f.u.

Cell lengths 5.4035, 5.4035, 5.4035 Å; angles 90.00, 90.00, 90.00 degrees
Last column: nearest neighbours and their distance in Å.
Space group Pm-3m (No. 221)
One atom of each set of equivalent atoms:
Sc (0.0000, 0.0000, 0.0000) (multiplicity 1)  6 Sb 2.70
Sb (0.0000, 0.0000, 0.5000) (multiplicity 3)  2 Sc 2.70
P (0.5000, 0.5000, 0.5000) (multiplicity 1)  12 Sb 3.82

Version B
Compound: ScSb3P
Source: Alexandria via LeMat-Bulk
Functional: PBE
Structure: relaxed

Computed properties:
The calculation puts the density at 5.37 g cm⁻³. The calculation puts the size of the total moment at 0.0 μB/f.u.

Cell lengths 5.1482, 5.1482, 5.1482 Å; angles 90.00, 90.00, 90.00 degrees
Last column: nearest neighbours and their distance in Å.
Space group Pm-3m (No. 221)
One atom of each set of equivalent atoms:
Sc (0.0000, 0.0000, 0.0000) (multiplicity 1)  12 Sb 3.64
Sb (0.0000, 0.5000, 0.5000) (multiplicity 3)  2 P 2.57
P (0.5000, 0.5000, 0.5000) (multiplicity 1)  6 Sb 2.57

Tell me which of them is the least stable. Sure, it is version A.

Version A
Compound: ScSb2TeP
Source: Alexandria via LeMat-Bulk
Functional: PBE
Structure: relaxed

Computed properties:
The calculation puts the density at 5.38 g cm⁻³. The calculation puts the size of the total moment at 0.0 μB/f.u.

Cell lengths 5.1091, 5.1091, 5.2836 Å; angles 90.00, 90.00, 90.00 degrees
Last column: nearest neighbours and their distance in Å.
Space group P4/mmm (No. 123)
One atom of each set of equivalent atoms:
Sc (0.0000, 0.0000, 0.0000) (multiplicity 1)  4 Te 3.61, 8 Sb 3.67
Sb (0.0000, 0.5000, 0.5000) (multiplicity 2)  2 P 2.55
Te (0.5000, 0.5000, 0.0000) (multiplicity 1)  2 P 2.64
P (0.5000, 0.5000, 0.5000) (multiplicity 1)  4 Sb 2.55, 2 Te 2.64

Version B
Compound: ScSb2TeP
Source: Alexandria via LeMat-Bulk
Functional: PBE
Structure: relaxed

Computed properties:
The calculation puts the density at 4.56 g cm⁻³. The calculation puts the size of the total moment at 1.5 μB/f.u.

Cell lengths 5.5021, 5.5021, 5.3787 Å; angles 90.00, 90.00, 90.00 degrees
Last column: nearest neighbours and their distance in Å.
Space group P4/mmm (No. 123)
One atom of each set of equivalent atoms:
Sc (0.0000, 0.0000, 0.0000) (multiplicity 1)  2 Te 2.69, 4 Sb 2.75
Sb (0.0000, 0.5000, 0.0000) (multiplicity 2)  2 Sc 2.75
Te (0.0000, 0.0000, 0.5000) (multiplicity 1)  2 Sc 2.69
P (0.5000, 0.5000, 0.5000) (multiplicity 1)  8 Sb 3.85, 4 Te 3.89

Tell me which of them is the least stable. Sure, it is version B.

Version A
Compound: Sb2PSe
Source: Alexandria via LeMat-Bulk
Functional: PBE
Structure: relaxed

Computed properties:
The calculation puts the density at 4.98 g cm⁻³. The calculation puts the size of the total moment at 0.0 μB/f.u.

Cell lengths 3.7931, 7.0099, 8.8583 Å; angles 90.00, 90.00, 90.00 degrees
Last column: nearest neighbours and their distance in Å.
Space group Cmm2 (No. 35)
One atom of each set of equivalent atoms:
Sb (0.0000, 0.0000, 0.0000) (multiplicity 2)  2 P 2.49
Sb (0.0000, 0.5000, 0.3235) (multiplicity 2)  2 Se 2.62
P (0.0000, 0.5000, 0.8177) (multiplicity 2)  2 Sb 2.49
Se (0.0000, 0.0000, 0.5279) (multiplicity 2)  2 Sb 2.62

Version B
Compound: Sb2PSe
Source: Alexandria via LeMat-Bulk
Functional: PBE
Structure: relaxed

Computed properties:
The calculation puts the density at 5.19 g cm⁻³. The calculation puts the size of the total moment at 0.0 μB/f.u.

Cell lengths 3.7287, 18.3661, 3.3054 Å; angles 90.00, 90.00, 90.00 degrees
Last column: nearest neighbours and their distance in Å.
Space group Cmmm (No. 65)
One atom of each set of equivalent atoms:
Sb (0.0000, 0.1889, 0.0000) (multiplicity 4)  2 Sb 2.92
P (0.0000, 0.5000, 0.5000) (multiplicity 2)  4 Se 2.49
Se (0.0000, 0.0000, 0.0000) (multiplicity 2)  4 P 2.49

Tell me which of them is the least stable. Sure, it is version B.